Material: MgHSe2
Method: DFT, GGA-PBE
State: optimized geometry

Results
As for the crystal system: cubic. Its total magnetization is 0.668 μB/cell. The calculation puts the total energy at -2.741 eV per atom. As for the symmetry: No. 225.

Cell lengths 4.616, 4.616, 4.616 Å; angles 60.00, 60.00, 60.00 degrees
Element x y z (fractional)
Mg 0.000 0.000 0.000
H 0.500 0.500 0.500
Se 0.250 0.250 0.250
Se 0.750 0.750 0.750

---

Material: MgHSe2
Method: DFT, GGA-PBE
State: optimized geometry

Results
As for the crystal system: trigonal. Its total magnetization is 0.000 μB/cell. The calculation puts the total energy at -2.443 eV per atom. As for the symmetry: No. 166.

Cell lengths 7.843, 7.843, 7.843 Å; angles 25.05, 25.05, 25.05 degrees
Element x y z (fractional)
Mg 0.000 0.000 0.000
H 0.500 0.500 0.500
Se 0.110 0.110 0.110
Se 0.890 0.890 0.890

---

Material: MgHSe
Method: DFT, GGA-PBE
State: optimized geometry

Results
As for the crystal system: triclinic. Its total magnetization is 0.000 μB/cell. The calculation puts the total energy at -3.557 eV per atom. As for the symmetry: No. 2.

Cell lengths 4.574, 4.584, 5.668 Å; angles 89.85, 89.77, 61.47 degrees
Element x y z (fractional)
Mg 0.168 0.170 0.247
Mg 0.832 0.830 0.753
H 0.465 0.458 0.540
H 0.535 0.542 0.460
Se 0.169 0.169 0.754
Se 0.831 0.831 0.246

---

Material: MgHSe
Method: DFT, GGA-PBE
State: optimized geometry

Results
As for the crystal system: monoclinic. Its total magnetization is 0.000 μB/cell. The calculation puts the total energy at -3.136 eV per atom. As for the symmetry: No. 11.

Cell lengths 5.519, 2.988, 6.473 Å; angles 90.00, 114.75, 90.00 degrees
Element x y z (fractional)
Mg 0.148 0.250 0.289
Mg 0.852 0.750 0.711
H 0.062 0.750 0.105
H 0.938 0.250 0.895
Se 0.345 0.750 0.697
Se 0.655 0.250 0.303

---

Material: MgH2Se
Method: DFT, GGA-PBE
State: optimized geometry

Results
As for the crystal system: cubic. Its total magnetization is 0.000 μB/cell. The calculation puts the total energy at -2.655 eV per atom. As for the symmetry: No. 225.

Cell lengths 3.984, 3.984, 3.984 Å; angles 60.00, 60.00, 60.00 degrees
Element x y z (fractional)
Mg 0.000 0.000 0.000
H 0.250 0.250 0.250
H 0.750 0.750 0.750
Se 0.500 0.500 0.500

---

Material: MgHSe
Method: DFT, GGA-PBE
State: optimized geometry

Results
As for the crystal system: monoclinic. Its total magnetization is 0.000 μB/cell. The calculation puts the total energy at -3.540 eV per atom. As for the symmetry: No. 8.

Cell lengths 4.256, 4.256, 7.621 Å; angles 111.59, 111.59, 55.34 degrees
Element x y z (fractional)
Mg 0.000 0.000 0.000
Mg 0.066 0.066 0.472
H 0.555 0.555 0.833
H 0.638 0.638 0.935
Se 0.387 0.387 0.171
Se 0.816 0.816 0.626

---

Material: MgHSe
Method: DFT, GGA-PBE
State: optimized geometry

Results
As for the crystal system: triclinic. Its total magnetization is 0.000 μB/cell. The calculation puts the total energy at -3.591 eV per atom. As for the symmetry: No. 1.

Cell lengths 4.298, 4.305, 6.964 Å; angles 89.95, 89.99, 60.15 degrees
Element x y z (fractional)
Mg 0.000 0.000 0.000
Mg 0.334 0.335 0.502
H 0.666 0.664 0.080
H 0.667 0.674 0.189
Se 0.000 0.001 0.383
Se 0.333 0.335 0.873

---

Material: MgHSe3
Method: DFT, GGA-PBE
State: optimized geometry

Results
As for the crystal system: cubic. Its total magnetization is 1.604 μB/cell. The calculation puts the total energy at -2.422 eV per atom. As for the symmetry: No. 221.

Cell lengths 5.087, 5.087, 5.087 Å; angles 90.00, 90.00, 90.00 degrees
Element x y z (fractional)
Mg 0.000 0.000 0.000
H 0.500 0.500 0.500
Se 0.000 0.000 0.500
Se 0.000 0.500 0.000
Se 0.500 0.000 0.000

---

Material: MgHSe
Method: DFT, GGA-PBE
State: optimized geometry

Results
As for the crystal system: monoclinic. Its total magnetization is 0.000 μB/cell. The calculation puts the total energy at -3.585 eV per atom. As for the symmetry: No. 14.

Cell lengths 9.230, 3.766, 7.544 Å; angles 90.00, 97.25, 90.00 degrees
Element x y z (fractional)
Mg 0.122 0.250 0.394
Mg 0.122 0.250 0.894
Mg 0.878 0.750 0.106
Mg 0.878 0.750 0.606
H 0.474 0.546 0.028
H 0.474 0.954 0.528
H 0.526 0.046 0.472
H 0.526 0.454 0.972
Se 0.170 0.749 0.651
Se 0.170 0.751 0.151
Se 0.830 0.249 0.849
Se 0.830 0.251 0.349

---

Material: Mg3HSe
Method: DFT, GGA-PBE
State: optimized geometry

Results
As for the crystal system: cubic. Its total magnetization is 0.000 μB/cell. The calculation puts the total energy at -1.838 eV per atom. As for the symmetry: No. 221.

Cell lengths 5.235, 5.235, 5.235 Å; angles 90.00, 90.00, 90.00 degrees
Element x y z (fractional)
Mg 0.000 0.000 0.500
Mg 0.000 0.500 0.000
Mg 0.500 0.000 0.000
H 0.500 0.500 0.500
Se 0.000 0.000 0.000

---

Material: MgTcHSe2
Method: DFT, GGA-PBE
State: optimized geometry

Results
As for the crystal system: tetragonal. Its total magnetization is 0.000 μB/cell. The calculation puts the total energy at -4.547 eV per atom. As for the symmetry: No. 123.

Cell lengths 4.941, 4.941, 3.517 Å; angles 90.00, 90.00, 90.00 degrees
Element x y z (fractional)
Mg 0.000 0.000 0.000
Tc 0.500 0.500 0.500
H 0.500 0.500 0.000
Se 0.000 0.500 0.500
Se 0.500 0.000 0.500

---

Material: MgTe2HSe
Method: DFT, GGA-PBE
State: optimized geometry

Results
As for the crystal system: tetragonal. Its total magnetization is 0.455 μB/cell. The calculation puts the total energy at -2.296 eV per atom. As for the symmetry: No. 123.

Cell lengths 5.523, 5.523, 5.069 Å; angles 90.00, 90.00, 90.00 degrees
Element x y z (fractional)
Mg 0.000 0.000 0.000
Te 0.000 0.500 0.000
Te 0.500 0.000 0.000
H 0.500 0.500 0.500
Se 0.000 0.000 0.500

---

Material: MgSiH
Method: DFT, GGA-PBE
State: optimized geometry

Results
As for the crystal system: monoclinic. Its total magnetization is 0.000 μB/cell. The calculation puts the total energy at -3.436 eV per atom. As for the symmetry: No. 8.

Cell lengths 6.096, 6.096, 4.476 Å; angles 90.83, 90.83, 35.64 degrees
Element x y z (fractional)
Mg 0.000 0.000 0.000
Mg 0.721 0.721 0.047
Si 0.244 0.244 0.608
Si 0.866 0.866 0.504
H 0.145 0.145 0.368
H 0.555 0.555 0.046

---

Material: Mg12Si3H5
Method: DFT, GGA-PBE
State: optimized geometry

Results
As for the crystal system: cubic. Its total magnetization is 0.000 μB/cell. The calculation puts the total energy at -2.575 eV per atom. As for the symmetry: No. 230.

Cell lengths 12.029, 12.029, 12.029 Å; angles 109.47, 109.47, 109.47 degrees
Element x y z (fractional)
Mg 0.019 0.208 0.114
Mg 0.019 0.310 0.905
Mg 0.095 0.614 0.405
Mg 0.095 0.708 0.690
Mg 0.095 0.886 0.405
Mg 0.095 0.981 0.690
Mg 0.114 0.019 0.208
Mg 0.114 0.595 0.905
Mg 0.190 0.208 0.595
Mg 0.190 0.481 0.595
Mg 0.208 0.114 0.019
Mg 0.208 0.595 0.190
Mg 0.292 0.310 0.905
Mg 0.292 0.481 0.386
Mg 0.310 0.905 0.019
Mg 0.310 0.905 0.292
Mg 0.386 0.292 0.481
Mg 0.386 0.595 0.905
Mg 0.405 0.095 0.614
Mg 0.405 0.095 0.886
Mg 0.405 0.810 0.519
Mg 0.405 0.810 0.792
Mg 0.481 0.386 0.292
Mg 0.481 0.595 0.190
Mg 0.519 0.405 0.810
Mg 0.519 0.614 0.708
Mg 0.595 0.190 0.208
Mg 0.595 0.190 0.481
Mg 0.595 0.905 0.114
Mg 0.595 0.905 0.386
Mg 0.614 0.405 0.095
Mg 0.614 0.708 0.519
Mg 0.690 0.095 0.708
Mg 0.690 0.095 0.981
Mg 0.708 0.519 0.614
Mg 0.708 0.690 0.095
Mg 0.792 0.405 0.810
Mg 0.792 0.886 0.981
Mg 0.810 0.519 0.405
Mg 0.810 0.792 0.405
Mg 0.886 0.405 0.095
Mg 0.886 0.981 0.792
Mg 0.905 0.019 0.310
Mg 0.905 0.114 0.595
Mg 0.905 0.292 0.310
Mg 0.905 0.386 0.595
Mg 0.981 0.690 0.095
Mg 0.981 0.792 0.886
Si 0.125 0.250 0.375
Si 0.125 0.375 0.750
Si 0.250 0.375 0.125
Si 0.250 0.875 0.625
Si 0.375 0.125 0.250
Si 0.375 0.750 0.125
Si 0.625 0.250 0.875
Si 0.625 0.875 0.750
Si 0.750 0.125 0.375
Si 0.750 0.625 0.875
Si 0.875 0.625 0.250
Si 0.875 0.750 0.625
H 0.000 0.000 0.000
H 0.000 0.000 0.500
H 0.000 0.500 0.000
H 0.000 0.500 0.500
H 0.125 0.750 0.875
H 0.125 0.875 0.250
H 0.250 0.125 0.875
H 0.250 0.625 0.375
H 0.375 0.250 0.625
H 0.375 0.625 0.750
H 0.500 0.000 0.000
H 0.500 0.000 0.500
H 0.500 0.500 0.000
H 0.500 0.500 0.500
H 0.625 0.375 0.250
H 0.625 0.750 0.375
H 0.750 0.375 0.625
H 0.750 0.875 0.125
H 0.875 0.125 0.750
H 0.875 0.250 0.125

---

Material: MgSiH2
Method: DFT, GGA-PBE
State: optimized geometry

Results
As for the crystal system: cubic. Its total magnetization is 0.000 μB/cell. The calculation puts the total energy at -2.846 eV per atom. As for the symmetry: No. 225.

Cell lengths 3.890, 3.890, 3.890 Å; angles 60.00, 60.00, 60.00 degrees
Element x y z (fractional)
Mg 0.000 0.000 0.000
Si 0.500 0.500 0.500
H 0.250 0.250 0.250
H 0.750 0.750 0.750

---

Material: MgSiH
Method: DFT, GGA-PBE
State: optimized geometry

Results
As for the crystal system: tetragonal. Its total magnetization is 0.000 μB/cell. The calculation puts the total energy at -3.476 eV per atom. As for the symmetry: No. 129.

Cell lengths 3.358, 3.358, 6.803 Å; angles 90.00, 90.00, 90.00 degrees
Element x y z (fractional)
Mg 0.250 0.250 0.161
Mg 0.750 0.750 0.839
Si 0.250 0.250 0.568
Si 0.750 0.750 0.432
H 0.250 0.750 0.000
H 0.750 0.250 0.000

---

Material: MgSi3H12
Method: DFT, GGA-PBE
State: optimized geometry

Results
As for the crystal system: trigonal. Its total magnetization is 0.000 μB/cell. The calculation puts the total energy at -3.551 eV per atom. As for the symmetry: No. 161.

Cell lengths 8.483, 8.483, 8.483 Å; angles 60.42, 60.42, 60.42 degrees
Element x y z (fractional)
Mg 0.000 0.000 0.000
Mg 0.500 0.500 0.500
Si 0.015 0.458 0.606
Si 0.106 0.958 0.515
Si 0.458 0.606 0.015
Si 0.515 0.106 0.958
Si 0.606 0.015 0.458
Si 0.958 0.515 0.106
H 0.023 0.649 0.457
H 0.027 0.443 0.782
H 0.031 0.802 0.677
H 0.149 0.523 0.957
H 0.154 0.939 0.328
H 0.177 0.302 0.531
H 0.282 0.943 0.527
H 0.302 0.531 0.177
H 0.328 0.154 0.939
H 0.439 0.654 0.828
H 0.443 0.782 0.027
H 0.457 0.023 0.649
H 0.523 0.957 0.149
H 0.527 0.282 0.943
H 0.531 0.177 0.302
H 0.649 0.457 0.023
H 0.654 0.828 0.439
H 0.677 0.031 0.802
H 0.782 0.027 0.443
H 0.802 0.677 0.031
H 0.828 0.439 0.654
H 0.939 0.328 0.154
H 0.943 0.527 0.282
H 0.957 0.149 0.523

---

Material: Mg2SiH6
Method: DFT, GGA-PBE
State: optimized geometry

Results
As for the crystal system: cubic. Its total magnetization is 0.000 μB/cell. The calculation puts the total energy at -2.977 eV per atom. As for the symmetry: No. 225.

Cell lengths 4.850, 4.850, 4.850 Å; angles 60.00, 60.00, 60.00 degrees
Element x y z (fractional)
Mg 0.250 0.250 0.250
Mg 0.750 0.750 0.750
Si 0.000 0.000 0.000
H 0.240 0.240 0.760
H 0.240 0.760 0.240
H 0.240 0.760 0.760
H 0.760 0.240 0.240
H 0.760 0.240 0.760
H 0.760 0.760 0.240

---

Material: MgSiH
Method: DFT, GGA-PBE
State: optimized geometry

Results
As for the crystal system: orthorhombic. Its total magnetization is 0.000 μB/cell. The calculation puts the total energy at -3.441 eV per atom. As for the symmetry: No. 59.

Cell lengths 3.203, 3.521, 7.494 Å; angles 90.00, 90.00, 90.00 degrees
Element x y z (fractional)
Mg 0.250 0.250 0.153
Mg 0.750 0.750 0.847
Si 0.250 0.750 0.553
Si 0.750 0.250 0.447
H 0.250 0.750 0.038
H 0.750 0.250 0.962

---

Material: MgSi2H
Method: DFT, GGA-PBE
State: optimized geometry

Results
As for the crystal system: tetragonal. Its total magnetization is 0.000 μB/cell. The calculation puts the total energy at -3.487 eV per atom. As for the symmetry: No. 122.

Cell lengths 6.377, 6.377, 6.377 Å; angles 135.32, 135.32, 65.03 degrees
Element x y z (fractional)
Mg 0.000 0.000 0.000
Mg 0.750 0.250 0.500
Si 0.320 0.625 0.195
Si 0.375 0.570 0.695
Si 0.430 0.125 0.805
Si 0.875 0.680 0.305
H 0.250 0.750 0.500
H 0.500 0.500 0.000

---

Material: MgSi2H
Method: DFT, GGA-PBE
State: optimized geometry

Results
As for the crystal system: cubic. Its total magnetization is 0.000 μB/cell. The calculation puts the total energy at -3.207 eV per atom. As for the symmetry: No. 225.

Cell lengths 4.342, 4.342, 4.342 Å; angles 60.00, 60.00, 60.00 degrees
Element x y z (fractional)
Mg 0.000 0.000 0.000
Si 0.250 0.250 0.250
Si 0.750 0.750 0.750
H 0.500 0.500 0.500